Record 1
A relaxed YAlF3 crystal, computed with PBE-GGA.

- ΔE_f (raw) (eV per atom) = -2.61
- energy above the lowest structure with this stoichiometry (eV/atom) = 0.0000
- total moment (μB/atom) = 0.000
- E_tot (eV/atom) = -5.78

```
YAlF3
1.0
4.504 0.000 0.000
0.000 4.504 0.000
0.000 0.000 4.504
Y Al F
1 1 3
Cartesian
0.000 0.000 0.000
2.252 2.252 2.252
0.000 0.000 2.252
0.000 2.252 0.000
2.252 0.000 0.000
```

***

Record 2
A relaxed Y2AlF crystal, computed with PBE-GGA.

- ΔE_f (raw) (eV per atom) = -0.92
- energy above the lowest structure with this stoichiometry (eV/atom) = 0.3152
- total moment (μB/atom) = 0.000
- E_tot (eV/atom) = -5.56

```
Y2AlF
1.0
7.140 0.000 0.000
0.000 7.140 0.000
0.000 0.000 7.140
Y Al F
8 4 4
Cartesian
1.785 1.785 1.785
1.785 1.785 5.355
1.785 5.355 1.785
1.785 5.355 5.355
5.355 1.785 1.785
5.355 1.785 5.355
5.355 5.355 1.785
5.355 5.355 5.355
0.000 0.000 0.000
0.000 3.570 3.570
3.570 0.000 3.570
3.570 3.570 0.000
0.000 0.000 3.570
0.000 3.570 0.000
3.570 0.000 0.000
3.570 3.570 3.570
```